(1)
First-principles (GGA-PBE) data for Tb2Pr6NdSc after structural relaxation, as listed in the Alexandria database.

Summary:
Energy relative to the elements (meV per atom): 230.1
SG: C2/m (12)

Geometry as POSCAR:
```
Tb2Pr6NdSc
1.0
8.808 0.000 1.252
0.000 6.956 0.000
-2.034 -3.478 5.436
Tb Pr Nd Sc
2 6 1 1
Cartesian
1.012 0.000 1.202
5.762 3.478 5.486
3.012 3.478 1.877
0.372 -1.774 3.921
6.402 1.704 2.767
0.372 1.774 3.921
6.402 5.252 2.767
3.761 0.000 4.811
4.404 0.000 0.626
0.000 3.478 0.000
```

=====

(2)
First-principles (GGA-PBE) data for Tb2EuPu after structural relaxation, as listed in the Alexandria database.

Summary:
Energy relative to the elements (meV per atom): 234.6
Distance to the lowest polymorph of the same formula (eV/atom): 0.093
SG: P4/mmm (123)

Geometry as POSCAR:
```
Tb2EuPu
1.0
-2.235 -1.202 4.211
-2.203 -4.002 -2.311
3.993 -2.937 1.280
Eu Tb Pu
1 2 1
Cartesian
-1.117 -0.601 2.106
1.997 -1.469 0.640
-1.101 -2.001 -1.156
-0.222 -4.071 1.590
```

=====

(3)
First-principles (GGA-PBE) data for La2ThMg after structural relaxation, as listed in the Alexandria database.

Summary:
Energy relative to the elements (meV per atom): 204.2
Distance to the lowest polymorph of the same formula (eV/atom): 0.260
SG: R-3m (166)

Geometry as POSCAR:
```
La2ThMg
1.0
3.428 0.000 0.000
1.714 2.969 0.000
1.714 0.990 12.744
Mg Th La
1 1 2
Cartesian
3.428 1.979 6.372
0.000 0.000 0.000
1.714 0.990 9.353
5.143 2.969 3.391
```

=====

(4)
First-principles (GGA-PBE) data for Mg2BeTeO after structural relaxation, as listed in the Alexandria database.

Summary:
Formation energy from raw total energies (eV per atom): -0.707
SG: P4/mmm (123)

Geometry as POSCAR:
```
Mg2BeTeO
1.0
-2.066 -0.328 -4.963
-0.270 -3.137 0.320
-4.952 0.633 2.020
Be Mg Te O
1 2 1 1
Cartesian
-0.135 -1.569 0.160
-2.476 0.316 1.010
-1.033 -0.164 -2.481
-3.644 -1.416 -1.311
0.000 0.000 0.000
```

=====

(5)
First-principles (GGA-PBE) data for CeCoRh after structural relaxation, as listed in the Alexandria database.

Summary:
Energy relative to the elements (meV per atom): -490.0
SG: Imma (74)

Geometry as POSCAR:
```
CeCoRh
1.0
5.161 -0.027 -0.011
-0.153 5.159 0.011
-2.346 -2.720 3.706
Ce Co Rh
2 2 2
Cartesian
1.293 -0.083 0.924
1.369 2.494 2.782
-0.076 2.580 0.005
-1.173 -1.360 1.853
2.504 2.566 0.000
-1.249 1.219 1.858
```

=====

(6)
First-principles (GGA-PBE) data for Be2SeCl after structural relaxation, as listed in the Alexandria database.

Summary:
Formation energy from raw total energies (eV per atom): -0.028
Distance to the lowest polymorph of the same formula (eV/atom): 0.381
SG: Imm2 (44)

Geometry as POSCAR:
```
Be2SeCl
1.0
-5.804 2.141 -1.707
-0.461 -4.621 -4.429
-0.149 2.364 5.965
Be Se Cl
2 1 1
Cartesian
-6.102 -2.416 -5.977
-4.585 1.616 0.553
-1.346 -1.541 -0.252
-3.779 -1.496 -3.702
```

=====

(7)
First-principles (GGA-PBE) data for TcSbAs2 after structural relaxation, as listed in the Alexandria database.

Summary:
Formation energy from raw total energies (eV per atom): 0.178
SG: Imm2 (44)

Geometry as POSCAR:
```
TcSbAs2
1.0
6.826 1.415 -0.171
4.034 5.686 0.171
-4.993 -4.218 2.429
Sb As Tc
1 2 1
Cartesian
4.670 3.054 0.000
0.814 0.532 0.000
3.843 0.513 1.129
1.969 2.335 1.300
```

=====

(8)
First-principles (GGA-PBE) data for CaAs2Pb after structural relaxation, as listed in the Alexandria database.

Summary:
Energy relative to the elements (meV per atom): -401.7
SG: C2/m (12)

Geometry as POSCAR:
```
CaAs2Pb
1.0
8.619 -0.003 -0.005
-3.370 3.670 0.050
1.879 1.668 3.123
Pb As Ca
1 2 1
Cartesian
2.625 1.834 0.023
0.000 0.000 0.000
5.249 0.833 1.559
-0.746 2.669 1.587
```

=====

Total moment, record by record: 0.001 0.516 0.000 0.000 0.000 0.000 0.000 0.000 μB per formula unit
VASP energy, record by record: -4.6736 -8.2321 -4.5132 -3.7102 -7.2870 -3.2235 -5.7689 -4.1540 eV per atom